[1]
{"formula": "PtBr2Cl", "functional": "PBE", "state": "relaxed", "lattice": [[6.2915, 0.0000, 0.0000], [0.0000, 6.5019, 0.0000], [0.0000, 0.0000, 10.9641]], "species": ["Br", "Br", "Br", "Br", "Br", "Br", "Br", "Br", "Cl", "Cl", "Cl", "Cl", "Pt", "Pt", "Pt", "Pt"], "frac_coords": [[0.1200, 0.8457, 0.9966], [0.0901, 0.3265, 0.8382], [0.5901, 0.6735, 0.1618], [0.6200, 0.1543, 0.0034], [0.6200, 0.6543, 0.4966], [0.1200, 0.3457, 0.5034], [0.0901, 0.8265, 0.6618], [0.5901, 0.1735, 0.3382], [0.1667, 0.7961, 0.3210], [0.1667, 0.2961, 0.1790], [0.6667, 0.7039, 0.8210], [0.6667, 0.2039, 0.6790], [0.8730, 0.5082, 0.6629], [0.3730, 0.4918, 0.3371], [0.3730, 0.9918, 0.1629], [0.8730, 0.0082, 0.8371]], "spacegroup": "Pna2_1, No. 33", "volume_a3_per_cell": 448.50, "raw_formation_energy_kj_per_mol_fu": -89, "energy_ev_per_atom": -3.039, "e_above_lowest_polymorph_ev_per_fu": 0.01, "dos_at_fermi_per_ev_atom": 0.597}

=====

[2]
{"formula": "PtBr2Cl", "functional": "PBE", "state": "relaxed", "lattice": [[-3.4379, 3.8305, -0.1649], [-3.5974, -3.2994, -1.6407], [-0.8029, -0.5935, 2.9539]], "species": ["Cl", "Br", "Br", "Pt"], "frac_coords": [[0.5000, 0.0000, 0.5000], [0.5000, 0.5000, 0.0000], [0.0000, 0.0000, 0.0000], [0.0000, 0.5000, 0.5000]], "spacegroup": "P4/mmm, No. 123", "volume_a3_per_cell": 82.69, "raw_formation_energy_kj_per_mol_fu": 313, "energy_ev_per_atom": -1.998, "e_above_lowest_polymorph_ev_per_fu": 4.18, "dos_at_fermi_per_ev_atom": 1.464}